(1)
Crystalline La2NCl at its relaxed geometry. Source: Alexandria, functional PBE.

```
4
Lattice="3.748 0.000 0.000 1.874 3.246 0.000 1.874 1.082 7.323" Properties=species:S:1:pos:R:3 pbc="T T T"
Cl 3.748 2.164 3.674
La 1.874 1.082 1.375
La 1.874 1.082 5.941
N 5.622 3.246 7.318
```

Its symmetry is No. 160. Its volume is 89.1 Å³/cell. The density of states at the Fermi level is 1.2 states/eV/f.u. For the total energy, the calculation gives -26.4 eV per formula unit.

=====

(2)
Crystalline NdGaGe2 at its relaxed geometry. Source: Alexandria, functional PBE.

```
4
Lattice="4.963 0.000 0.000 2.481 4.298 0.000 2.481 1.433 6.585" Properties=species:S:1:pos:R:3 pbc="T T T"
Ge 7.444 4.298 2.401
Ge 2.481 1.433 4.184
Nd 4.963 2.865 3.293
Ga 0.000 0.000 0.000
```

Its symmetry is No. 166. The distance to the lowest polymorph of the same formula is 15.539 kcal/mol of atoms. Its volume is 140.5 Å³/cell. The density of states at the Fermi level is 2.3 states/eV/f.u. Its energy relative to the elements is 0.213 eV/atom.

=====

(3)
Crystalline Sm3Er2Tl at its relaxed geometry. Source: Alexandria, functional PBE.

```
12
Lattice="6.811 0.000 0.000 0.000 6.456 0.105 -3.405 -1.536 8.492" Properties=species:S:1:pos:R:3 pbc="T T T"
Sm -0.800 -0.257 2.872
Sm 2.605 1.949 5.673
Sm 4.205 5.177 5.726
Sm 1.539 4.842 0.079
Sm 5.271 1.614 0.026
Sm 0.800 2.971 2.924
Er -0.741 1.731 5.779
Er 2.665 -0.039 2.766
Er 0.741 4.959 5.832
Er 4.146 3.189 2.819
Tl 4.873 4.842 0.079
Tl 1.938 1.614 0.026
```

Its symmetry is No. 15. The distance to the lowest polymorph of the same formula is 0.972 kcal/mol of atoms. Its volume is 374.5 Å³/cell. The density of states at the Fermi level is 5.9 states/eV/f.u. Its energy relative to the elements is -0.067 eV/atom.

=====

(4)
Crystalline Zr2ZnSi at its relaxed geometry. Source: Alexandria, functional PBE.

```
4
Lattice="4.320 0.000 0.000 0.000 4.320 0.000 0.000 0.000 3.904" Properties=species:S:1:pos:R:3 pbc="T T T"
Zn 0.000 2.160 1.952
Si 2.160 0.000 1.952
Zr 2.160 2.160 0.000
Zr 0.000 0.000 0.000
```

Its symmetry is No. 123. Its volume is 72.9 Å³/cell. The density of states at the Fermi level is 2.7 states/eV/f.u. For the total energy, the calculation gives -25.5 eV per formula unit.